# 1
Material: Y12AlCo6
Method: DFT, PBE-GGA
State: optimized geometry

* energy of formation: -0.216 eV/atom
* Fermi-level density of states: 0.7856 states/eV/atom
* magnetization: 0.000 μB/atom

a b c (Å): 8.372 8.372 8.372
angles (deg): 109.47 109.47 109.47
Positions (direct):
Y 0.108 0.807 0.301
Y 0.699 0.506 0.807
Y 0.807 0.301 0.108
Y 0.193 0.301 0.494
Y 0.301 0.108 0.807
Y 0.494 0.193 0.301
Y 0.193 0.699 0.892
Y 0.506 0.807 0.699
Y 0.892 0.193 0.699
Y 0.699 0.892 0.193
Y 0.301 0.494 0.193
Y 0.807 0.699 0.506
Al 0.000 0.000 0.000
Co 0.387 0.500 0.887
Co 0.113 0.613 0.500
Co 0.500 0.887 0.387
Co 0.500 0.113 0.613
Co 0.613 0.500 0.113
Co 0.887 0.387 0.500

# 2
Material: YAlCo
Method: DFT, PBE-GGA
State: optimized geometry

* energy of formation: -0.282 eV/atom
* Fermi-level density of states: 0.6028 states/eV/atom
* magnetization: 0.114 μB/atom

a b c (Å): 5.846 5.846 3.147
angles (deg): 74.39 74.38 31.23
Site moments in Bohr magnetons follow the coordinates.
Positions (direct):
Y 0.681 0.681 0.319  -0.08
Co 0.356 0.356 0.644  0.54
Al 0.963 0.963 0.037  -0.01

# 3
Material: YAl8Co2
Method: DFT, PBE-GGA
State: optimized geometry

* polymorph energy (0 for the lowest one): 0 meV per atom
* energy of formation: -0.463 eV/atom
* Fermi-level density of states: 0.2791 states/eV/atom
* magnetization: 0.000 μB/atom

a b c (Å): 3.958 12.407 14.370
angles (deg): 90.00 90.00 90.00
Positions (direct):
Y 0.000 0.341 0.680
Y 0.000 0.659 0.320
Y 0.000 0.159 0.180
Y 0.000 0.841 0.820
Al 0.000 0.500 0.500
Al 0.500 0.453 0.820
Al 0.500 0.547 0.180
Al 0.500 0.669 0.491
Al 0.500 0.737 0.674
Al 0.500 0.953 0.680
Al 0.000 0.841 0.544
Al 0.000 0.659 0.044
Al 0.500 0.331 0.509
Al 0.500 0.047 0.320
Al 0.500 0.839 0.378
Al 0.500 0.475 0.368
Al 0.000 0.403 0.247
Al 0.500 0.525 0.632
Al 0.500 0.161 0.622
Al 0.500 0.000 0.500
Al 0.500 0.025 0.868
Al 0.500 0.661 0.878
Al 0.500 0.169 0.009
Al 0.000 0.341 0.956
Al 0.000 0.597 0.753
Al 0.000 0.903 0.253
Al 0.500 0.263 0.326
Al 0.500 0.975 0.132
Al 0.000 0.159 0.456
Al 0.500 0.339 0.122
Al 0.500 0.237 0.826
Al 0.000 0.097 0.747
Al 0.500 0.500 0.000
Al 0.000 0.000 0.000
Al 0.500 0.831 0.991
Al 0.500 0.763 0.174
Co 0.000 0.035 0.595
Co 0.000 0.347 0.404
Co 0.000 0.847 0.096
Co 0.000 0.653 0.596
Co 0.000 0.465 0.095
Co 0.000 0.965 0.405
Co 0.000 0.535 0.905
Co 0.000 0.153 0.904

# 4
Material: YAl8Co2
Method: DFT, PBE-GGA
State: optimized geometry

* polymorph energy (0 for the lowest one): 533 meV per atom
* energy of formation: 0.070 eV/atom
* Fermi-level density of states: 0.8132 states/eV/atom
* magnetization: 0.000 μB/atom

a b c (Å): 5.611 5.611 7.710
angles (deg): 90.00 90.00 90.00
Positions (direct):
Y 0.500 0.500 0.500
Al 0.750 0.250 0.176
Al 0.250 0.750 0.824
Al 0.750 0.250 0.824
Al 0.250 0.250 0.824
Al 0.750 0.750 0.176
Al 0.250 0.250 0.176
Al 0.750 0.750 0.824
Al 0.250 0.750 0.176
Co 0.500 0.000 0.000
Co 0.000 0.500 0.000

The highest Fermi-level density of states belongs to which entry?
number 4